Compound: Ba3Sb2O7
Source: Alexandria via LeMat-Bulk
Functional: PBE
Structure: relaxed

* size of the total moment: 0.00 μB per cell
* formation energy from raw total energies: -2.105 eV per atom
* crystal system: tetragonal
* SG: I4/mmm (139)

```
data_Ba3Sb2O7
_chemical_formula_sum 'Ba3 Sb2 O7'
_cell_length_a 11.464
_cell_length_b 11.464
_cell_length_c 11.464
_cell_angle_alpha 158.41
_cell_angle_beta 158.41
_cell_angle_gamma 30.71
_symmetry_space_group_name_H-M 'P 1'
_symmetry_Int_Tables_number 1
loop_
_symmetry_equiv_pos_as_xyz
'x,y,z'
loop_
_atom_site_label
_atom_site_type_symbol
_atom_site_fract_x
_atom_site_fract_y
_atom_site_fract_z
Ba1 Ba 0.000 0.000 0.000
Ba2 Ba 0.185 0.185 0.000
Ba3 Ba 0.815 0.815 0.000
Sb1 Sb 0.401 0.401 0.000
Sb2 Sb 0.599 0.599 0.000
O1 O 0.099 0.599 0.500
O2 O 0.306 0.306 0.000
O3 O 0.401 0.901 0.500
O4 O 0.500 0.500 0.000
O5 O 0.599 0.099 0.500
O6 O 0.694 0.694 0.000
O7 O 0.901 0.401 0.500
```

Compound: Ca2NbPt
Source: Alexandria via LeMat-Bulk
Functional: PBE
Structure: relaxed

* formation energy from the elements: 252 meV/atom
* size of the total moment: 4.46 μB per cell
* crystal system: tetragonal
* SG: I-42d (122)
* offset from the most stable computed form: 36 meV/atom

```
data_Ca2NbPt
_chemical_formula_sum 'Ca4 Nb2 Pt2'
_cell_length_a 7.585
_cell_length_b 7.585
_cell_length_c 7.585
_cell_angle_alpha 96.45
_cell_angle_beta 96.45
_cell_angle_gamma 140.82
_symmetry_space_group_name_H-M 'P 1'
_symmetry_Int_Tables_number 1
loop_
_symmetry_equiv_pos_as_xyz
'x,y,z'
loop_
_atom_site_label
_atom_site_type_symbol
_atom_site_fract_x
_atom_site_fract_y
_atom_site_fract_z
Ca1 Ca 0.375 0.239 0.364
Ca2 Ca 0.761 0.125 0.136
Ca3 Ca 0.875 0.011 0.636
Ca4 Ca 0.989 0.625 0.864
Nb1 Nb 0.250 0.750 0.500
Nb2 Nb 0.500 0.500 0.000
Pt1 Pt 0.000 0.000 0.000
Pt2 Pt 0.750 0.250 0.500
```

Compound: CsAlCl2
Source: Alexandria via LeMat-Bulk
Functional: PBE
Structure: relaxed

* size of the total moment: 0.00 μB per cell
* formation energy from raw total energies: -1.029 eV per atom
* crystal system: trigonal
* SG: R-3m (166)
* offset from the most stable computed form: 12 meV/atom

```
data_CsAlCl2
_chemical_formula_sum 'Cs1 Al1 Cl2'
_cell_length_a 9.297
_cell_length_b 9.297
_cell_length_c 9.297
_cell_angle_alpha 32.61
_cell_angle_beta 32.61
_cell_angle_gamma 32.61
_symmetry_space_group_name_H-M 'P 1'
_symmetry_Int_Tables_number 1
loop_
_symmetry_equiv_pos_as_xyz
'x,y,z'
loop_
_atom_site_label
_atom_site_type_symbol
_atom_site_fract_x
_atom_site_fract_y
_atom_site_fract_z
Cs1 Cs 0.000 0.000 0.000
Al1 Al 0.500 0.500 0.500
Cl1 Cl 0.404 0.404 0.404
Cl2 Cl 0.596 0.596 0.596
```

Compound: SrLiRe2
Source: Alexandria via LeMat-Bulk
Functional: PBE
Structure: relaxed

* formation energy from the elements: 1779 meV/atom
* size of the total moment: 1.32 μB per cell
* crystal system: cubic
* SG: Fm-3m (225)
* offset from the most stable computed form: 1338 meV/atom

```
data_SrLiRe2
_chemical_formula_sum 'Sr1 Li1 Re2'
_cell_length_a 4.680
_cell_length_b 4.680
_cell_length_c 4.680
_cell_angle_alpha 60.00
_cell_angle_beta 60.00
_cell_angle_gamma 60.00
_symmetry_space_group_name_H-M 'P 1'
_symmetry_Int_Tables_number 1
loop_
_symmetry_equiv_pos_as_xyz
'x,y,z'
loop_
_atom_site_label
_atom_site_type_symbol
_atom_site_fract_x
_atom_site_fract_y
_atom_site_fract_z
Sr1 Sr 0.000 0.000 0.000
Li1 Li 0.500 0.500 0.500
Re1 Re 0.250 0.250 0.250
Re2 Re 0.750 0.750 0.750
```

Compound: Na4ErSc3Te8
Source: Alexandria via LeMat-Bulk
Functional: PBE
Structure: relaxed

* size of the total moment: 0.00 μB per cell
* formation energy from raw total energies: -1.213 eV per atom
* crystal system: trigonal
* SG: R-3m (166)

```
data_Na4ErSc3Te8
_chemical_formula_sum 'Na4 Er1 Sc3 Te8'
_cell_length_a 9.015
_cell_length_b 9.015
_cell_length_c 9.015
_cell_angle_alpha 56.70
_cell_angle_beta 56.70
_cell_angle_gamma 56.70
_symmetry_space_group_name_H-M 'P 1'
_symmetry_Int_Tables_number 1
loop_
_symmetry_equiv_pos_as_xyz
'x,y,z'
loop_
_atom_site_label
_atom_site_type_symbol
_atom_site_fract_x
_atom_site_fract_y
_atom_site_fract_z
Na1 Na 0.000 0.000 0.000
Na2 Na 0.000 0.500 0.500
Na3 Na 0.500 0.000 0.500
Na4 Na 0.500 0.500 0.000
Er1 Er 0.500 0.500 0.500
Sc1 Sc 0.000 0.000 0.500
Sc2 Sc 0.000 0.500 0.000
Sc3 Sc 0.500 0.000 0.000
Te1 Te 0.233 0.745 0.745
Te2 Te 0.240 0.240 0.240
Te3 Te 0.255 0.255 0.767
Te4 Te 0.255 0.767 0.255
Te5 Te 0.745 0.233 0.745
Te6 Te 0.745 0.745 0.233
Te7 Te 0.760 0.760 0.760
Te8 Te 0.767 0.255 0.255
```

Compound: NiSn2RhN
Source: Alexandria via LeMat-Bulk
Functional: PBE
Structure: relaxed

* size of the total moment: 0.00 μB per cell
* formation energy from raw total energies: 0.215 eV per atom
* crystal system: tetragonal
* SG: P4/mmm (123)

```
data_NiSn2RhN
_chemical_formula_sum 'Ni1 Sn2 Rh1 N1'
_cell_length_a 4.874
_cell_length_b 4.874
_cell_length_c 3.482
_cell_angle_alpha 90.00
_cell_angle_beta 90.00
_cell_angle_gamma 90.00
_symmetry_space_group_name_H-M 'P 1'
_symmetry_Int_Tables_number 1
loop_
_symmetry_equiv_pos_as_xyz
'x,y,z'
loop_
_atom_site_label
_atom_site_type_symbol
_atom_site_fract_x
_atom_site_fract_y
_atom_site_fract_z
Ni1 Ni 0.000 0.000 0.000
Sn1 Sn 0.000 0.500 0.500
Sn2 Sn 0.500 0.000 0.500
Rh1 Rh 0.500 0.500 0.000
N1 N 0.000 0.000 0.500
```

Compound: SrPmNiN2
Source: Alexandria via LeMat-Bulk
Functional: PBE
Structure: relaxed

* size of the total moment: 2.02 μB per cell
* formation energy from raw total energies: -0.630 eV per atom
* crystal system: monoclinic
* SG: P2/c (13)

```
data_SrPmNiN2
_chemical_formula_sum 'Sr2 Pm2 Ni2 N4'
_cell_length_a 5.505
_cell_length_b 5.166
_cell_length_c 6.847
_cell_angle_alpha 90.00
_cell_angle_beta 90.14
_cell_angle_gamma 90.00
_symmetry_space_group_name_H-M 'P 1'
_symmetry_Int_Tables_number 1
loop_
_symmetry_equiv_pos_as_xyz
'x,y,z'
loop_
_atom_site_label
_atom_site_type_symbol
_atom_site_fract_x
_atom_site_fract_y
_atom_site_fract_z
Sr1 Sr 0.000 0.001 0.250
Sr2 Sr 0.000 0.999 0.750
Pm1 Pm 0.500 0.500 0.250
Pm2 Pm 0.500 0.500 0.750
Ni1 Ni 0.500 0.000 0.000
Ni2 Ni 0.500 0.000 0.500
N1 N 0.280 0.262 0.000
N2 N 0.280 0.738 0.500
N3 N 0.720 0.262 0.500
N4 N 0.720 0.738 0.000
```

Compound: LaNi3Ir2
Source: Alexandria via LeMat-Bulk
Functional: PBE
Structure: relaxed

* formation energy from the elements: -33 meV/atom
* size of the total moment: 0.00 μB per cell
* crystal system: trigonal
* SG: R-3m (166)

```
data_LaNi3Ir2
_chemical_formula_sum 'La2 Ni6 Ir4'
_cell_length_a 7.495
_cell_length_b 7.495
_cell_length_c 7.495
_cell_angle_alpha 43.68
_cell_angle_beta 43.68
_cell_angle_gamma 43.68
_symmetry_space_group_name_H-M 'P 1'
_symmetry_Int_Tables_number 1
loop_
_symmetry_equiv_pos_as_xyz
'x,y,z'
loop_
_atom_site_label
_atom_site_type_symbol
_atom_site_fract_x
_atom_site_fract_y
_atom_site_fract_z
La1 La 0.214 0.214 0.214
La2 La 0.786 0.786 0.786
Ni1 Ni 0.264 0.711 0.711
Ni2 Ni 0.289 0.289 0.736
Ni3 Ni 0.289 0.736 0.289
Ni4 Ni 0.711 0.264 0.711
Ni5 Ni 0.711 0.711 0.264
Ni6 Ni 0.736 0.289 0.289
Ir1 Ir 0.000 0.000 0.000
Ir2 Ir 0.000 0.500 0.500
Ir3 Ir 0.500 0.000 0.500
Ir4 Ir 0.500 0.500 0.000
```

Compound: Rb3PS
Source: Alexandria via LeMat-Bulk
Functional: PBE
Structure: relaxed

* size of the total moment: 2.00 μB per cell
* formation energy from raw total energies: -0.212 eV per atom
* crystal system: cubic
* SG: Pm-3m (221)
* offset from the most stable computed form: 0 meV/atom

```
data_Rb3PS
_chemical_formula_sum 'Rb3 P1 S1'
_cell_length_a 6.335
_cell_length_b 6.335
_cell_length_c 6.335
_cell_angle_alpha 90.00
_cell_angle_beta 90.00
_cell_angle_gamma 90.00
_symmetry_space_group_name_H-M 'P 1'
_symmetry_Int_Tables_number 1
loop_
_symmetry_equiv_pos_as_xyz
'x,y,z'
loop_
_atom_site_label
_atom_site_type_symbol
_atom_site_fract_x
_atom_site_fract_y
_atom_site_fract_z
Rb1 Rb 0.000 0.000 0.500
Rb2 Rb 0.000 0.500 0.000
Rb3 Rb 0.500 0.000 0.000
P1 P 0.500 0.500 0.500
S1 S 0.000 0.000 0.000
```

Compound: CuHg2W
Source: Alexandria via LeMat-Bulk
Functional: PBE
Structure: relaxed

* formation energy from the elements: 1095 meV/atom
* size of the total moment: 2.84 μB per cell
* crystal system: tetragonal
* SG: I-42d (122)
* offset from the most stable computed form: 586 meV/atom

```
data_CuHg2W
_chemical_formula_sum 'Cu2 Hg4 W2'
_cell_length_a 10.203
_cell_length_b 10.203
_cell_length_c 10.203
_cell_angle_alpha 157.39
_cell_angle_beta 157.39
_cell_angle_gamma 32.18
_symmetry_space_group_name_H-M 'P 1'
_symmetry_Int_Tables_number 1
loop_
_symmetry_equiv_pos_as_xyz
'x,y,z'
loop_
_atom_site_label
_atom_site_type_symbol
_atom_site_fract_x
_atom_site_fract_y
_atom_site_fract_z
Cu1 Cu 0.000 0.000 0.000
Cu2 Cu 0.750 0.250 0.500
Hg1 Hg 0.122 0.625 0.997
Hg2 Hg 0.375 0.372 0.497
Hg3 Hg 0.628 0.125 0.003
Hg4 Hg 0.875 0.878 0.503
W1 W 0.250 0.750 0.500
W2 W 0.500 0.500 0.000
```

Compound: NbGeAu
Source: Alexandria via LeMat-Bulk
Functional: PBE
Structure: relaxed

* formation energy from the elements: -138 meV/atom
* size of the total moment: 0.00 μB per cell
* crystal system: orthorhombic
* SG: Cmm2 (35)

```
data_NbGeAu
_chemical_formula_sum 'Nb1 Ge1 Au1'
_cell_length_a 2.862
_cell_length_b 2.862
_cell_length_c 6.799
_cell_angle_alpha 90.00
_cell_angle_beta 90.00
_cell_angle_gamma 98.00
_symmetry_space_group_name_H-M 'P 1'
_symmetry_Int_Tables_number 1
loop_
_symmetry_equiv_pos_as_xyz
'x,y,z'
loop_
_atom_site_label
_atom_site_type_symbol
_atom_site_fract_x
_atom_site_fract_y
_atom_site_fract_z
Nb1 Nb 0.000 0.000 0.000
Ge1 Ge 0.500 0.500 0.299
Au1 Au 0.500 0.500 0.681
```

Compound: K2TaCu
Source: Alexandria via LeMat-Bulk
Functional: PBE
Structure: relaxed

* formation energy from the elements: 894 meV/atom
* size of the total moment: 0.00 μB per cell
* crystal system: monoclinic
* SG: Cm (8)
* offset from the most stable computed form: 146 meV/atom

```
data_K2TaCu
_chemical_formula_sum 'K2 Ta1 Cu1'
_cell_length_a 4.597
_cell_length_b 4.597
_cell_length_c 10.356
_cell_angle_alpha 92.59
_cell_angle_beta 92.59
_cell_angle_gamma 37.27
_symmetry_space_group_name_H-M 'P 1'
_symmetry_Int_Tables_number 1
loop_
_symmetry_equiv_pos_as_xyz
'x,y,z'
loop_
_atom_site_label
_atom_site_type_symbol
_atom_site_fract_x
_atom_site_fract_y
_atom_site_fract_z
K1 K 0.000 0.000 0.000
K2 K 0.224 0.224 0.583
Ta1 Ta 0.462 0.462 0.320
Cu1 Cu 0.733 0.733 0.244
```

Please write out number 4 again, unchanged.
Compound: SrLiRe2
Source: Alexandria via LeMat-Bulk
Functional: PBE
Structure: relaxed

* formation energy from the elements: 1779 meV/atom
* size of the total moment: 1.32 μB per cell
* crystal system: cubic
* SG: Fm-3m (225)
* offset from the most stable computed form: 1338 meV/atom

```
data_SrLiRe2
_chemical_formula_sum 'Sr1 Li1 Re2'
_cell_length_a 4.680
_cell_length_b 4.680
_cell_length_c 4.680
_cell_angle_alpha 60.00
_cell_angle_beta 60.00
_cell_angle_gamma 60.00
_symmetry_space_group_name_H-M 'P 1'
_symmetry_Int_Tables_number 1
loop_
_symmetry_equiv_pos_as_xyz
'x,y,z'
loop_
_atom_site_label
_atom_site_type_symbol
_atom_site_fract_x
_atom_site_fract_y
_atom_site_fract_z
Sr1 Sr 0.000 0.000 0.000
Li1 Li 0.500 0.500 0.500
Re1 Re 0.250 0.250 0.250
Re2 Re 0.750 0.750 0.750
```

Repeat the fifth record exactly.
Compound: Na4ErSc3Te8
Source: Alexandria via LeMat-Bulk
Functional: PBE
Structure: relaxed

* size of the total moment: 0.00 μB per cell
* formation energy from raw total energies: -1.213 eV per atom
* crystal system: trigonal
* SG: R-3m (166)

```
data_Na4ErSc3Te8
_chemical_formula_sum 'Na4 Er1 Sc3 Te8'
_cell_length_a 9.015
_cell_length_b 9.015
_cell_length_c 9.015
_cell_angle_alpha 56.70
_cell_angle_beta 56.70
_cell_angle_gamma 56.70
_symmetry_space_group_name_H-M 'P 1'
_symmetry_Int_Tables_number 1
loop_
_symmetry_equiv_pos_as_xyz
'x,y,z'
loop_
_atom_site_label
_atom_site_type_symbol
_atom_site_fract_x
_atom_site_fract_y
_atom_site_fract_z
Na1 Na 0.000 0.000 0.000
Na2 Na 0.000 0.500 0.500
Na3 Na 0.500 0.000 0.500
Na4 Na 0.500 0.500 0.000
Er1 Er 0.500 0.500 0.500
Sc1 Sc 0.000 0.000 0.500
Sc2 Sc 0.000 0.500 0.000
Sc3 Sc 0.500 0.000 0.000
Te1 Te 0.233 0.745 0.745
Te2 Te 0.240 0.240 0.240
Te3 Te 0.255 0.255 0.767
Te4 Te 0.255 0.767 0.255
Te5 Te 0.745 0.233 0.745
Te6 Te 0.745 0.745 0.233
Te7 Te 0.760 0.760 0.760
Te8 Te 0.767 0.255 0.255
```

Repeat the third record exactly.
Compound: CsAlCl2
Source: Alexandria via LeMat-Bulk
Functional: PBE
Structure: relaxed

* size of the total moment: 0.00 μB per cell
* formation energy from raw total energies: -1.029 eV per atom
* crystal system: trigonal
* SG: R-3m (166)
* offset from the most stable computed form: 12 meV/atom

```
data_CsAlCl2
_chemical_formula_sum 'Cs1 Al1 Cl2'
_cell_length_a 9.297
_cell_length_b 9.297
_cell_length_c 9.297
_cell_angle_alpha 32.61
_cell_angle_beta 32.61
_cell_angle_gamma 32.61
_symmetry_space_group_name_H-M 'P 1'
_symmetry_Int_Tables_number 1
loop_
_symmetry_equiv_pos_as_xyz
'x,y,z'
loop_
_atom_site_label
_atom_site_type_symbol
_atom_site_fract_x
_atom_site_fract_y
_atom_site_fract_z
Cs1 Cs 0.000 0.000 0.000
Al1 Al 0.500 0.500 0.500
Cl1 Cl 0.404 0.404 0.404
Cl2 Cl 0.596 0.596 0.596
```